Entry 1:
A relaxed Pm2YBi2O2 crystal. Source: Alexandria via LeMat-Bulk, functional PBE-GGA.

abc: 8.950 8.950 8.950
angles: 151.55 151.55 40.67
Fractional coordinates of all 7 atoms:
Pm1 0.110 0.110 0.000
Pm2 0.890 0.890 0.000
Y1 0.500 0.500 0.000
Bi1 0.309 0.309 0.000
Bi2 0.691 0.691 0.000
O1 0.000 0.500 0.500
O2 0.500 0.000 0.500

The calculation puts the volume at 162.4 Å³ per cell.


Entry 2:
A relaxed PmZnBiO4 crystal. Source: Alexandria via LeMat-Bulk, functional PBE-GGA.

abc: 5.854 5.854 7.275
angles: 90.00 90.00 116.06
Fractional coordinates of all 14 atoms:
Pm1 0.000 0.000 0.000
Pm2 0.000 0.000 0.500
Zn1 0.340 0.660 0.750
Zn2 0.660 0.340 0.250
Bi1 0.340 0.660 0.250
Bi2 0.660 0.340 0.750
O1 0.232 0.768 0.528
O2 0.232 0.768 0.972
O3 0.245 0.269 0.750
O4 0.269 0.245 0.250
O5 0.731 0.755 0.750
O6 0.755 0.731 0.250
O7 0.768 0.232 0.028
O8 0.768 0.232 0.472

The calculation puts the volume at 224.0 Å³ per cell.


Entry 3:
A relaxed PmZr2BiO8 crystal. Source: Alexandria via LeMat-Bulk, functional PBE-GGA.

abc: 5.046 5.046 6.815
angles: 90.00 90.00 90.53
Fractional coordinates of all 12 atoms:
Pm1 0.000 0.000 0.000
Zr1 0.500 0.500 0.248
Zr2 0.500 0.500 0.752
Bi1 0.000 0.000 0.500
O1 0.203 0.203 0.270
O2 0.203 0.203 0.730
O3 0.306 0.694 0.500
O4 0.322 0.678 0.000
O5 0.678 0.322 0.000
O6 0.694 0.306 0.500
O7 0.797 0.797 0.270
O8 0.797 0.797 0.730

The calculation puts the volume at 173.5 Å³ per cell.


Entry 4:
A relaxed PmZrBiO6 crystal. Source: Alexandria via LeMat-Bulk, functional PBE-GGA.

abc: 5.585 5.585 10.097
angles: 90.00 90.00 120.00
Fractional coordinates of all 18 atoms:
Pm1 0.000 0.000 0.000
Pm2 0.000 0.000 0.500
Zr1 0.333 0.667 0.250
Zr2 0.667 0.333 0.750
Bi1 0.333 0.667 0.750
Bi2 0.667 0.333 0.250
O1 0.001 0.356 0.136
O2 0.001 0.646 0.364
O3 0.354 0.356 0.364
O4 0.354 0.999 0.136
O5 0.356 0.001 0.636
O6 0.356 0.354 0.864
O7 0.644 0.646 0.136
O8 0.644 0.999 0.364
O9 0.646 0.001 0.864
O10 0.646 0.644 0.636
O11 0.999 0.354 0.636
O12 0.999 0.644 0.864

The calculation puts the volume at 272.7 Å³ per cell.


Entry 5:
A relaxed Pr12Bi3O5 crystal. Source: Alexandria via LeMat-Bulk, functional PBE-GGA.

abc: 14.242 14.242 14.242
angles: 109.47 109.47 109.47
Fractional coordinates of all 80 atoms:
Pr1 0.007 0.195 0.107
Pr2 0.007 0.313 0.901
Pr3 0.088 0.695 0.687
Pr4 0.088 0.893 0.401
Pr5 0.099 0.607 0.412
Pr6 0.099 0.993 0.687
Pr7 0.107 0.007 0.195
Pr8 0.107 0.599 0.912
Pr9 0.187 0.195 0.588
Pr10 0.187 0.493 0.599
Pr11 0.195 0.107 0.007
Pr12 0.195 0.588 0.187
Pr13 0.305 0.313 0.912
Pr14 0.305 0.493 0.393
Pr15 0.313 0.901 0.007
Pr16 0.313 0.912 0.305
Pr17 0.393 0.305 0.493
Pr18 0.393 0.588 0.901
Pr19 0.401 0.088 0.893
Pr20 0.401 0.813 0.507
Pr21 0.412 0.099 0.607
Pr22 0.412 0.813 0.805
Pr23 0.493 0.393 0.305
Pr24 0.493 0.599 0.187
Pr25 0.507 0.401 0.813
Pr26 0.507 0.607 0.695
Pr27 0.588 0.187 0.195
Pr28 0.588 0.901 0.393
Pr29 0.599 0.187 0.493
Pr30 0.599 0.912 0.107
Pr31 0.607 0.412 0.099
Pr32 0.607 0.695 0.507
Pr33 0.687 0.088 0.695
Pr34 0.687 0.099 0.993
Pr35 0.695 0.507 0.607
Pr36 0.695 0.687 0.088
Pr37 0.805 0.412 0.813
Pr38 0.805 0.893 0.993
Pr39 0.813 0.507 0.401
Pr40 0.813 0.805 0.412
Pr41 0.893 0.401 0.088
Pr42 0.893 0.993 0.805
Pr43 0.901 0.007 0.313
Pr44 0.901 0.393 0.588
Pr45 0.912 0.107 0.599
Pr46 0.912 0.305 0.313
Pr47 0.993 0.687 0.099
Pr48 0.993 0.805 0.893
Bi1 0.125 0.250 0.375
Bi2 0.125 0.375 0.750
Bi3 0.250 0.375 0.125
Bi4 0.250 0.875 0.625
Bi5 0.375 0.125 0.250
Bi6 0.375 0.750 0.125
Bi7 0.625 0.250 0.875
Bi8 0.625 0.875 0.750
Bi9 0.750 0.125 0.375
Bi10 0.750 0.625 0.875
Bi11 0.875 0.625 0.250
Bi12 0.875 0.750 0.625
O1 0.000 0.000 0.000
O2 0.000 0.000 0.500
O3 0.000 0.500 0.000
O4 0.000 0.500 0.500
O5 0.125 0.750 0.875
O6 0.125 0.875 0.250
O7 0.250 0.125 0.875
O8 0.250 0.625 0.375
O9 0.375 0.250 0.625
O10 0.375 0.625 0.750
O11 0.500 0.000 0.000
O12 0.500 0.000 0.500
O13 0.500 0.500 0.000
O14 0.500 0.500 0.500
O15 0.625 0.375 0.250
O16 0.625 0.750 0.375
O17 0.750 0.375 0.625
O18 0.750 0.875 0.125
O19 0.875 0.125 0.750
O20 0.875 0.250 0.125

The calculation puts the volume at 2223.8 Å³ per cell.


Entry 6:
A relaxed PrBi3O6 crystal. Source: Alexandria via LeMat-Bulk, functional PBE-GGA.

abc: 5.974 6.491 10.571
angles: 90.00 124.29 90.00
Fractional coordinates of all 20 atoms:
Pr1 0.000 0.000 0.000
Pr2 0.000 0.500 0.500
Bi1 0.262 0.028 0.751
Bi2 0.262 0.472 0.251
Bi3 0.500 0.000 0.500
Bi4 0.500 0.500 0.000
Bi5 0.738 0.528 0.749
Bi6 0.738 0.972 0.249
O1 0.088 0.068 0.251
O2 0.088 0.432 0.751
O3 0.234 0.676 0.075
O4 0.234 0.824 0.575
O5 0.416 0.174 0.071
O6 0.416 0.326 0.571
O7 0.584 0.674 0.429
O8 0.584 0.826 0.929
O9 0.766 0.176 0.425
O10 0.766 0.324 0.925
O11 0.912 0.568 0.249
O12 0.912 0.932 0.749

The relative energy among the computed polymorphs comes out at 12 meV per atom. The calculation puts the volume at 338.6 Å³ per cell.


Entry 7:
A relaxed Pr2BiO5 crystal. Source: Alexandria via LeMat-Bulk, functional PBE-GGA.

abc: 7.016 7.016 8.160
angles: 111.93 111.93 49.49
Fractional coordinates of all 16 atoms:
Pr1 0.136 0.144 0.254
Pr2 0.144 0.136 0.754
Pr3 0.856 0.864 0.246
Pr4 0.864 0.856 0.746
Bi1 0.500 0.500 0.000
Bi2 0.500 0.500 0.500
O1 0.090 0.763 0.043
O2 0.165 0.482 0.352
O3 0.237 0.910 0.457
O4 0.316 0.684 0.750
O5 0.482 0.165 0.852
O6 0.518 0.835 0.148
O7 0.684 0.316 0.250
O8 0.763 0.090 0.543
O9 0.835 0.518 0.648
O10 0.910 0.237 0.957

The calculation puts the volume at 278.4 Å³ per cell.


Entry 8:
A relaxed Pr2BiO6 crystal. Source: Alexandria via LeMat-Bulk, functional PBE-GGA.

abc: 6.705 6.705 3.942
angles: 105.22 105.22 50.52
Fractional coordinates of all 9 atoms:
Pr1 0.168 0.168 0.171
Pr2 0.832 0.832 0.829
Bi1 0.500 0.500 0.500
O1 0.108 0.584 0.343
O2 0.277 0.723 0.000
O3 0.416 0.892 0.657
O4 0.584 0.108 0.343
O5 0.723 0.277 0.000
O6 0.892 0.416 0.657

The calculation puts the volume at 130.9 Å³ per cell.


Entry 9:
A relaxed Pr6BiO12 crystal. Source: Alexandria via LeMat-Bulk, functional PBE-GGA.

abc: 6.866 6.866 6.866
angles: 98.84 98.84 98.84
Fractional coordinates of all 19 atoms:
Pr1 0.109 0.801 0.641
Pr2 0.199 0.359 0.891
Pr3 0.359 0.891 0.199
Pr4 0.641 0.109 0.801
Pr5 0.801 0.641 0.109
Pr6 0.891 0.199 0.359
Bi1 0.500 0.500 0.500
O1 0.060 0.912 0.322
O2 0.088 0.678 0.940
O3 0.193 0.434 0.546
O4 0.322 0.060 0.912
O5 0.434 0.546 0.193
O6 0.454 0.807 0.566
O7 0.546 0.193 0.434
O8 0.566 0.454 0.807
O9 0.678 0.940 0.088
O10 0.807 0.566 0.454
O11 0.912 0.322 0.060
O12 0.940 0.088 0.678

The calculation puts the volume at 310.7 Å³ per cell.


Entry 10:
A relaxed Pr2BiO crystal. Source: Alexandria via LeMat-Bulk, functional PBE-GGA.

abc: 8.026 8.026 8.026
angles: 27.60 27.60 27.60
Fractional coordinates of all 4 atoms:
Pr1 0.224 0.224 0.224
Pr2 0.776 0.776 0.776
Bi1 0.000 0.000 0.000
O1 0.500 0.500 0.500

The relative energy among the computed polymorphs comes out at 282 meV per atom. The calculation puts the volume at 98.0 Å³ per cell.


Entry 11:
A relaxed Pr3Bi2O crystal. Source: Alexandria via LeMat-Bulk, functional PBE-GGA.

abc: 7.583 7.583 8.336
angles: 96.69 96.69 51.56
Fractional coordinates of all 12 atoms:
Pr1 0.122 0.878 0.750
Pr2 0.260 0.444 0.314
Pr3 0.444 0.260 0.814
Pr4 0.556 0.740 0.186
Pr5 0.740 0.556 0.686
Pr6 0.878 0.122 0.250
Bi1 0.108 0.227 0.017
Bi2 0.227 0.108 0.517
Bi3 0.773 0.892 0.483
Bi4 0.892 0.773 0.983
O1 0.466 0.534 0.750
O2 0.534 0.466 0.250

The calculation puts the volume at 372.3 Å³ per cell.


Entry 12:
A relaxed Pr2BiO crystal. Source: Alexandria via LeMat-Bulk, functional PBE-GGA.

abc: 4.728 4.728 9.291
angles: 90.00 90.00 90.00
Fractional coordinates of all 8 atoms:
Pr1 0.250 0.250 0.159
Pr2 0.250 0.750 0.500
Pr3 0.750 0.250 0.500
Pr4 0.750 0.750 0.841
Bi1 0.250 0.250 0.798
Bi2 0.750 0.750 0.202
O1 0.250 0.250 0.422
O2 0.750 0.750 0.578

The relative energy among the computed polymorphs comes out at 0 meV per atom. The calculation puts the volume at 207.7 Å³ per cell.


Entry 13:
A relaxed PrBi3O6 crystal. Source: Alexandria via LeMat-Bulk, functional PBE-GGA.

abc: 6.189 6.189 6.189
angles: 60.91 60.91 60.91
Fractional coordinates of all 10 atoms:
Pr1 0.000 0.000 0.000
Bi1 0.274 0.274 0.274
Bi2 0.492 0.492 0.492
Bi3 0.779 0.779 0.779
O1 0.130 0.362 0.659
O2 0.143 0.886 0.606
O3 0.362 0.659 0.130
O4 0.606 0.143 0.886
O5 0.659 0.130 0.362
O6 0.886 0.606 0.143

The relative energy among the computed polymorphs comes out at 0 meV per atom. The calculation puts the volume at 171.1 Å³ per cell.


Entry 14:
A relaxed Pr3BiO6 crystal. Source: Alexandria via LeMat-Bulk, functional PBE-GGA.

abc: 7.573 7.573 6.039
angles: 90.00 90.00 103.09
Fractional coordinates of all 20 atoms:
Pr1 0.100 0.900 0.500
Pr2 0.197 0.411 0.548
Pr3 0.411 0.197 0.048
Pr4 0.589 0.803 0.548
Pr5 0.803 0.589 0.048
Pr6 0.900 0.100 0.000
Bi1 0.326 0.674 0.066
Bi2 0.674 0.326 0.566
O1 0.076 0.600 0.256
O2 0.147 0.177 0.271
O3 0.177 0.147 0.771
O4 0.277 0.723 0.679
O5 0.400 0.924 0.256
O6 0.479 0.521 0.304
O7 0.521 0.479 0.804
O8 0.600 0.076 0.756
O9 0.723 0.277 0.179
O10 0.823 0.853 0.271
O11 0.853 0.823 0.771
O12 0.924 0.400 0.756

The relative energy among the computed polymorphs comes out at 18 meV per atom. The calculation puts the volume at 337.3 Å³ per cell.


Entry 15:
A relaxed Pr3BiO6 crystal. Source: Alexandria via LeMat-Bulk, functional PBE-GGA.

abc: 7.105 7.105 7.105
angles: 91.73 91.73 91.73
Fractional coordinates of all 20 atoms:
Pr1 0.056 0.752 0.564
Pr2 0.248 0.436 0.944
Pr3 0.436 0.944 0.248
Pr4 0.564 0.056 0.752
Pr5 0.752 0.564 0.056
Pr6 0.944 0.248 0.436
Bi1 0.000 0.000 0.000
Bi2 0.500 0.500 0.500
O1 0.028 0.681 0.897
O2 0.103 0.972 0.319
O3 0.184 0.431 0.598
O4 0.319 0.103 0.972
O5 0.402 0.816 0.569
O6 0.431 0.598 0.184
O7 0.569 0.402 0.816
O8 0.598 0.184 0.431
O9 0.681 0.897 0.028
O10 0.816 0.569 0.402
O11 0.897 0.028 0.681
O12 0.972 0.319 0.103

The relative energy among the computed polymorphs comes out at 0 meV per atom. The calculation puts the volume at 358.2 Å³ per cell.


Entry 16:
A relaxed PrBiO2 crystal. Source: Alexandria via LeMat-Bulk, functional PBE-GGA.

abc: 7.328 7.328 7.328
angles: 29.37 29.37 29.37
Fractional coordinates of all 4 atoms:
Pr1 0.000 0.000 0.000
Bi1 0.500 0.500 0.500
O1 0.386 0.386 0.386
O2 0.614 0.614 0.614

The calculation puts the volume at 83.8 Å³ per cell.


Entry 17:
A relaxed Pr2Bi2O7 crystal. Source: Alexandria via LeMat-Bulk, functional PBE-GGA.

abc: 7.919 7.919 7.919
angles: 60.00 60.00 60.00
Fractional coordinates of all 22 atoms:
Pr1 0.000 0.000 0.000
Pr2 0.000 0.000 0.500
Pr3 0.000 0.500 0.000
Pr4 0.500 0.000 0.000
Bi1 0.000 0.500 0.500
Bi2 0.500 0.000 0.500
Bi3 0.500 0.500 0.000
Bi4 0.500 0.500 0.500
O1 0.125 0.125 0.125
O2 0.155 0.155 0.595
O3 0.155 0.595 0.155
O4 0.155 0.595 0.595
O5 0.405 0.405 0.845
O6 0.405 0.845 0.405
O7 0.405 0.845 0.845
O8 0.595 0.155 0.155
O9 0.595 0.155 0.595
O10 0.595 0.595 0.155
O11 0.845 0.405 0.405
O12 0.845 0.405 0.845
O13 0.845 0.845 0.405
O14 0.875 0.875 0.875

The calculation puts the volume at 351.2 Å³ per cell.


Formation energy without anion corrections list, top to bottom, in eV per atom: -1.828; -1.936; -2.570; -2.346; -1.575; -1.704; -2.408; -2.069; -2.817; -1.593; -1.386; -1.875; -1.716; -2.763; -2.782; -2.224; -2.079
VASP energy list, top to bottom, in eV per formula unit: -46.44; -43.29; -96.23; -68.04; -125.29; -63.22; -57.49; -61.81; -145.59; -24.77; -35.37; -25.90; -63.33; -75.60; -75.78; -27.47; -74.89